This record from Alexandria via LeMat-Bulk describes an optimized crystal structure of SmCoO3. The functional is GGA+U.

extended XYZ file:
```
20
Lattice="5.186 0.087 1.562 2.390 4.603 1.562 0.048 0.030 9.556" Properties=species:S:1:pos:R:3 pbc="T T T"
O 6.463 4.018 5.964
O 1.121 0.712 1.938
O 2.538 3.133 6.896
O 3.913 0.860 2.117
O 4.926 3.030 3.499
O 2.691 1.647 4.403
O 4.932 3.072 8.277
O 5.085 1.586 5.784
O 1.161 0.701 6.716
O 2.698 1.689 9.181
O 6.502 4.008 10.742
O 3.711 3.860 10.563
Co 2.593 0.043 0.781
Co 1.219 2.316 5.559
Co 3.125 3.497 8.729
Co 4.499 1.223 3.951
Sm 5.518 1.855 10.272
Sm 2.106 2.865 2.408
Sm 4.097 4.097 5.493
Sm 3.527 0.622 7.187
```

Summary:
magnetization = 8.0 μB per cell
uncorrected energy = -7.13 eV/atom